(1)
# KCe2F11 | the Alexandria database | PBE | optimized geometry
data_KCe2F11
_cell_length_a 8.902
_cell_length_b 9.373
_cell_length_c 9.373
_cell_angle_alpha 66.92
_cell_angle_beta 61.65
_cell_angle_gamma 61.65
_space_group_name_H-M_alt 'P 1'
_space_group_IT_number 1
_space_group_name_Hall 'P 1'
loop_
_atom_site_label
_atom_site_type_symbol
_atom_site_fract_x
_atom_site_fract_y
_atom_site_fract_z
K1 K 0.750 0.750 0.750
K2 K 0.250 0.250 0.250
Ce1 Ce 0.676 0.694 0.306
Ce2 Ce 0.324 0.306 0.694
Ce3 Ce 0.824 0.194 0.806
Ce4 Ce 0.176 0.806 0.194
F1 F 0.653 0.694 0.541
F2 F 0.347 0.306 0.459
F3 F 0.112 0.541 0.694
F4 F 0.847 0.959 0.806
F5 F 0.888 0.459 0.306
F6 F 0.153 0.041 0.194
F7 F 0.388 0.806 0.959
F8 F 0.612 0.194 0.041
F9 F 0.500 0.500 0.500
F10 F 0.000 0.000 0.000
F11 F 0.909 0.803 0.197
F12 F 0.091 0.197 0.803
F13 F 0.591 0.303 0.697
F14 F 0.409 0.697 0.303
F15 F 0.506 0.947 0.297
F16 F 0.494 0.053 0.703
F17 F 0.250 0.297 0.947
F18 F 0.994 0.203 0.553
F19 F 0.750 0.703 0.053
F20 F 0.006 0.797 0.447
F21 F 0.250 0.553 0.203
F22 F 0.750 0.447 0.797
# space group: Ibam, No. 72
# raw total energy: -0.1975 hartree per atom
# formation energy without anion corrections: -2.977 eV per atom

(2)
# K6CeF12 | the Alexandria database | PBE | optimized geometry
data_K6CeF12
_cell_length_a 7.480
_cell_length_b 7.480
_cell_length_c 7.480
_cell_angle_alpha 99.72
_cell_angle_beta 99.72
_cell_angle_gamma 99.72
_space_group_name_H-M_alt 'P 1'
_space_group_IT_number 1
_space_group_name_Hall 'P 1'
loop_
_atom_site_label
_atom_site_type_symbol
_atom_site_fract_x
_atom_site_fract_y
_atom_site_fract_z
K1 K 0.712 0.843 0.385
K2 K 0.615 0.288 0.157
K3 K 0.157 0.615 0.288
K4 K 0.288 0.157 0.615
K5 K 0.385 0.712 0.843
K6 K 0.843 0.385 0.712
Ce1 Ce 0.000 0.000 0.000
F1 F 0.856 0.545 0.427
F2 F 0.427 0.856 0.545
F3 F 0.545 0.427 0.856
F4 F 0.144 0.455 0.573
F5 F 0.573 0.144 0.455
F6 F 0.455 0.573 0.144
F7 F 0.060 0.974 0.289
F8 F 0.026 0.711 0.940
F9 F 0.711 0.940 0.026
F10 F 0.940 0.026 0.711
F11 F 0.974 0.289 0.060
F12 F 0.289 0.060 0.974
# space group: R-3, No. 148
# raw total energy: -0.1691 hartree per atom
# formation energy without anion corrections: -2.760 eV per atom

Look up the formation energy without anion corrections of the second one.
-2.760 eV per atom